Material: LiTi2HgO
Method: DFT, PBE
State: optimized geometry

```
LiTi2HgO
1.0
4.116 0.000 0.000
0.000 4.116 0.000
0.000 0.000 4.167
Li Ti Hg O
1 2 1 1
direct
0.000 0.000 0.000
0.000 0.500 0.500
0.500 0.000 0.500
0.500 0.500 0.000
0.000 0.000 0.500
```


Material: Li2TiHgO
Method: DFT, PBE
State: optimized geometry

```
Li2TiHgO
1.0
4.229 0.000 0.000
0.000 4.229 0.000
0.000 0.000 3.925
Li Ti Hg O
2 1 1 1
direct
0.000 0.500 0.000
0.500 0.000 0.000
0.000 0.000 0.500
0.500 0.500 0.500
0.000 0.000 0.000
```


Material: LiUHg2O6
Method: DFT, PBE
State: optimized geometry

```
LiUHg2O6
1.0
5.320 -2.917 0.000
5.320 2.917 0.000
-2.731 0.000 4.683
Li U Hg O
1 1 2 6
direct
0.000 0.000 0.000
0.500 0.500 0.500
0.232 0.232 0.785
0.768 0.768 0.215
0.167 0.675 0.170
0.307 0.307 0.480
0.325 0.833 0.830
0.675 0.167 0.170
0.693 0.693 0.520
0.833 0.325 0.830
```


Material: Li2UHgO6
Method: DFT, PBE
State: optimized geometry

```
Li2UHgO6
1.0
5.355 -4.185 0.000
5.355 4.185 0.000
-0.779 0.000 5.500
Li U Hg O
4 2 2 12
direct
0.123 0.343 0.206
0.343 0.123 0.706
0.657 0.877 0.294
0.877 0.657 0.794
0.147 0.853 0.250
0.853 0.147 0.750
0.347 0.653 0.750
0.653 0.347 0.250
0.092 0.131 0.453
0.131 0.092 0.953
0.158 0.574 0.970
0.227 0.558 0.417
0.426 0.842 0.530
0.442 0.773 0.083
0.558 0.227 0.917
0.574 0.158 0.470
0.773 0.442 0.583
0.842 0.426 0.030
0.869 0.908 0.047
0.908 0.869 0.547
```


ΔE_f (raw)
In order: -1.139 -1.084 -1.513 -1.681
Unit: eV/atom
Energy
In order: -5.732 -4.480 -5.868 -6.198
Unit: eV/atom